one:
Computed, not measured: a relaxed structure of NiAgIr2 at the PBEsol level of DFT.

Unit cell a=2.7170 b=4.6358 c=4.6869 alpha=100.19 beta=90.00 gamma=107.04
Positions (direct):
Ag 0.2463 0.4926 0.7263
Ir 0.0071 0.0141 0.0385
Ir 0.7534 0.5067 0.2300
Ni 0.4933 0.9865 0.5052

total magnetic moment	0.002	μB/atom



two:
Computed, not measured: a relaxed structure of NiAgIr2 at the PBEsol level of DFT.

Unit cell a=2.6612 b=2.6612 c=9.0667 alpha=90.00 beta=90.00 gamma=118.71
Positions (direct):
Ag 0.5000 0.5000 0.0000
Ir 0.0000 0.0000 0.2703
Ir 0.0000 0.0000 0.7297
Ni 0.5000 0.5000 0.5000

total magnetic moment	0.218	μB/atom



Unit: eV/atom. Relative energies: one 0.000; two 0.060.